Record 1
Computed, not measured: NaP3N at its PBEsol-relaxed geometry at the meta-GGA SCAN level of DFT.

a = 4.7894 Å, b = 4.7894 Å, c = 4.7894 Å
α = 90.00°, β = 90.00°, γ = 90.00°
Fractional positions:
P 0.0000 0.0000 0.5000
P 0.0000 0.5000 0.0000
P 0.5000 0.0000 0.0000
Na 0.0000 0.0000 0.0000
N 0.5000 0.5000 0.5000

DOS at the Fermi energy, states/eV/cell: 3.4
Final energy, Ry per atom: -0.4729

Record 2
Computed, not measured: ZnRe2Ag at its PBEsol-relaxed geometry at the meta-GGA SCAN level of DFT.

a = 2.7663 Å, b = 2.7663 Å, c = 9.1493 Å
α = 81.30°, β = 81.30°, γ = 60.00°
Fractional positions:
Ag 0.2477 0.2477 0.2570
Zn 0.4982 0.4982 0.5053
Re 0.7488 0.7488 0.7536
Re 0.0053 0.0053 0.9841

Formation energy from the elements, kJ/mol of atoms: 12.29
DOS at the Fermi energy, states/eV/cell: 1.5

Record 3
Computed, not measured: Mo3Se4S2 at its PBEsol-relaxed geometry at the meta-GGA SCAN level of DFT.

a = 3.2223 Å, b = 3.2223 Å, c = 20.1308 Å
α = 90.00°, β = 90.00°, γ = 120.00°
Fractional positions:
Se 0.0000 0.0000 0.5723
Se 0.6667 0.3333 0.2477
Se 0.0000 0.0000 0.7394
Se 0.6667 0.3333 0.4147
S 0.6667 0.3333 0.8960
S 0.6667 0.3333 0.0481
Mo 0.6667 0.3333 0.6558
Mo 0.0000 0.0000 0.3311
Mo 0.0000 0.0000 0.9721

Final energy, Ry per atom: -1.7239

Record 4
Computed, not measured: Hg2TeMo at its PBEsol-relaxed geometry at the meta-GGA SCAN level of DFT.

a = 3.0546 Å, b = 4.3819 Å, c = 7.2086 Å
α = 107.69°, β = 102.23°, γ = 90.00°
Fractional positions:
Mo 0.5000 0.0000 0.0000
Hg 0.8078 0.8078 0.6157
Hg 0.1922 0.1922 0.3843
Te 0.0000 0.5000 0.0000

DOS at the Fermi energy, states/eV/cell: 2.6
Final energy, Ry per atom: -3.7948

Record 5
Computed, not measured: CeAlAg2 at its PBEsol-relaxed geometry at the meta-GGA SCAN level of DFT.

a = 4.8448 Å, b = 4.8448 Å, c = 4.8448 Å
α = 60.00°, β = 60.00°, γ = 60.00°
Fractional positions:
Ce 0.0000 0.0000 0.0000
Ag 0.2500 0.2500 0.2500
Ag 0.7500 0.7500 0.7500
Al 0.5000 0.5000 0.5000

Formation energy from the elements, kJ/mol of atoms: -23.88
DOS at the Fermi energy, states/eV/cell: 3.7

Record 6
Computed, not measured: IrOsPt at its PBEsol-relaxed geometry at the meta-GGA SCAN level of DFT.

a = 2.7168 Å, b = 2.7168 Å, c = 6.1521 Å
α = 102.76°, β = 102.76°, γ = 90.00°
Fractional positions:
Pt 0.3306 0.3306 0.6613
Ir 0.0082 0.0082 0.0164
Os 0.6612 0.6612 0.3223

Polymorph energy (0 for the lowest one), meV per atom: 0
Formation energy from the elements, kJ/mol of atoms: 2.93
DOS at the Fermi energy, states/eV/cell: 2.0

Record 7
Computed, not measured: KPbSeBr2 at its PBEsol-relaxed geometry at the meta-GGA SCAN level of DFT.

a = 5.3580 Å, b = 5.8097 Å, c = 5.8097 Å
α = 90.00°, β = 90.00°, γ = 90.00°
Fractional positions:
Br 0.0000 0.0000 0.5000
Br 0.0000 0.5000 0.0000
Pb 0.0000 0.0000 0.0000
K 0.5000 0.5000 0.5000
Se 0.5000 0.0000 0.0000

DOS at the Fermi energy, states/eV/cell: 3.5
Final energy, Ry per atom: -2.1697

Record 8
Computed, not measured: Dy6Zn23 at its PBEsol-relaxed geometry at the meta-GGA SCAN level of DFT.

a = 8.7970 Å, b = 8.7970 Å, c = 8.7970 Å
α = 60.00°, β = 60.00°, γ = 60.00°
Fractional positions:
Zn 0.8772 0.8772 0.8772
Zn 0.0000 0.5000 0.0000
Zn 0.3282 0.3282 0.3282
Zn 0.0000 0.5000 0.5000
Zn 0.8772 0.8772 0.3683
Zn 0.0000 0.0000 0.0000
Zn 0.6317 0.1228 0.1228
Zn 0.6718 0.9845 0.6718
Zn 0.0155 0.3282 0.3282
Zn 0.6718 0.6718 0.6718
Zn 0.1228 0.1228 0.1228
Zn 0.3683 0.8772 0.8772
Zn 0.1228 0.6317 0.1228
Zn 0.8772 0.3683 0.8772
Zn 0.5000 0.0000 0.0000
Zn 0.3282 0.3282 0.0155
Zn 0.9845 0.6718 0.6718
Zn 0.0000 0.0000 0.5000
Zn 0.1228 0.1228 0.6317
Zn 0.5000 0.5000 0.0000
Zn 0.5000 0.0000 0.5000
Zn 0.6718 0.6718 0.9845
Zn 0.3282 0.0155 0.3282
Dy 0.2927 0.2927 0.7073
Dy 0.7073 0.2927 0.2927
Dy 0.7073 0.2927 0.7073
Dy 0.2927 0.7073 0.2927
Dy 0.2927 0.7073 0.7073
Dy 0.7073 0.7073 0.2927

Formation energy from the elements, kJ/mol of atoms: -36.45
DOS at the Fermi energy, states/eV/cell: 9.5

Record 9
Computed, not measured: TlIn2Re at its PBEsol-relaxed geometry at the meta-GGA SCAN level of DFT.

a = 4.2499 Å, b = 4.2499 Å, c = 5.2928 Å
α = 113.67°, β = 113.67°, γ = 90.00°
Fractional positions:
Tl 0.2500 0.7500 0.5000
In 0.7500 0.2500 0.5000
In 0.0000 0.0000 0.0000
Re 0.5000 0.5000 0.0000

Polymorph energy (0 for the lowest one), meV per atom: 51
Formation energy from the elements, kJ/mol of atoms: 77.54
DOS at the Fermi energy, states/eV/cell: 2.0

Record 10
Computed, not measured: In2Hg5Te8 at its PBEsol-relaxed geometry at the meta-GGA SCAN level of DFT.

a = 8.9731 Å, b = 8.9731 Å, c = 8.9731 Å
α = 90.70°, β = 119.60°, γ = 119.60°
Fractional positions:
Hg 0.5000 0.2500 0.7500
Hg 0.0000 0.2275 0.7725
Hg 0.5451 0.7725 0.7725
Hg 0.4549 0.2275 0.2275
Hg 0.0000 0.7725 0.2275
Te 0.2493 0.3815 0.6308
Te 0.7507 0.3692 0.6185
Te 0.2755 0.4190 0.1435
Te 0.7245 0.8680 0.1435
Te 0.7507 0.3815 0.1322
Te 0.2755 0.8565 0.1320
Te 0.7245 0.8565 0.5810
Te 0.2493 0.8678 0.6185
In 0.0000 0.2456 0.2456
In 0.0000 0.7544 0.7544

DOS at the Fermi energy, states/eV/cell: 0.9
Final energy, Ry per atom: -3.4755

Record 11
Computed, not measured: Li2GeAu at its PBEsol-relaxed geometry at the meta-GGA SCAN level of DFT.

a = 4.3398 Å, b = 4.3398 Å, c = 4.3398 Å
α = 60.00°, β = 60.00°, γ = 60.00°
Fractional positions:
Ge 0.0000 0.0000 0.0000
Au 0.7500 0.7500 0.7500
Li 0.2500 0.2500 0.2500
Li 0.5000 0.5000 0.5000

Formation energy from the elements, kJ/mol of atoms: -60.38
DOS at the Fermi energy, states/eV/cell: 1.1

Record 12
Computed, not measured: MgRe2F at its PBEsol-relaxed geometry at the meta-GGA SCAN level of DFT.

a = 4.2849 Å, b = 4.2849 Å, c = 4.2849 Å
α = 60.00°, β = 60.00°, γ = 60.00°
Fractional positions:
Mg 0.5000 0.5000 0.5000
F 0.0000 0.0000 0.0000
Re 0.7500 0.7500 0.7500
Re 0.2500 0.2500 0.2500

DOS at the Fermi energy, states/eV/cell: 5.2
Final energy, Ry per atom: -2.6765

Record 13
Computed, not measured: In2ReRh at its PBEsol-relaxed geometry at the meta-GGA SCAN level of DFT.

a = 3.9654 Å, b = 3.9654 Å, c = 5.1183 Å
α = 112.79°, β = 112.79°, γ = 90.00°
Fractional positions:
Rh 0.2500 0.7500 0.5000
Re 0.5000 0.5000 0.0000
In 0.7500 0.2500 0.5000
In 0.0000 0.0000 0.0000

Polymorph energy (0 for the lowest one), meV per atom: 290
Formation energy from the elements, kJ/mol of atoms: 40.29
DOS at the Fermi energy, states/eV/cell: 3.6

Record 14
Computed, not measured: MgPbBr2 at its PBEsol-relaxed geometry at the meta-GGA SCAN level of DFT.

a = 3.5701 Å, b = 3.5701 Å, c = 8.2069 Å
α = 90.00°, β = 90.00°, γ = 90.00°
Fractional positions:
Mg 0.0000 0.0000 0.4644
Pb 0.5000 0.5000 0.7436
Br 0.5000 0.5000 0.3117
Br 0.0000 0.0000 0.9803

Polymorph energy (0 for the lowest one), meV per atom: 0
DOS at the Fermi energy, states/eV/cell: 1.2

Record 15
Computed, not measured: Y2PI at its PBEsol-relaxed geometry at the meta-GGA SCAN level of DFT.

a = 5.0678 Å, b = 5.0678 Å, c = 5.0678 Å
α = 60.00°, β = 60.00°, γ = 60.00°
Fractional positions:
I 0.5000 0.5000 0.5000
P 0.0000 0.0000 0.0000
Y 0.2500 0.2500 0.2500
Y 0.7500 0.7500 0.7500

DOS at the Fermi energy, states/eV/cell: 1.5
Final energy, Ry per atom: -1.9614

Record 16
Computed, not measured: SrGaH5 at its PBEsol-relaxed geometry at the meta-GGA SCAN level of DFT.

a = 4.6110 Å, b = 8.3700 Å, c = 8.4493 Å
α = 90.00°, β = 90.00°, γ = 90.00°
Fractional positions:
Sr 0.2500 0.5073 0.3111
Sr 0.2500 0.0073 0.1889
Sr 0.7500 0.9927 0.8111
Sr 0.7500 0.4927 0.6889
Ga 0.2500 0.1685 0.5830
Ga 0.7500 0.3315 0.0830
Ga 0.7500 0.8315 0.4170
Ga 0.2500 0.6685 0.9170
H 0.2500 0.7220 0.0977
H 0.5323 0.2269 0.6728
H 0.7500 0.7780 0.5977
H 0.7500 0.0229 0.4074
H 0.7500 0.4778 0.4092
H 0.9677 0.7269 0.8272
H 0.7500 0.5229 0.0926
H 0.4677 0.7731 0.3272
H 0.0323 0.7731 0.3272
H 0.2500 0.9771 0.5926
H 0.2500 0.2220 0.4023
H 0.5323 0.7269 0.8272
H 0.9677 0.2269 0.6728
H 0.7500 0.2780 0.9023
H 0.7500 0.9778 0.0908
H 0.2500 0.4771 0.9074
H 0.0323 0.2731 0.1728
H 0.2500 0.0222 0.9092
H 0.4677 0.2731 0.1728
H 0.2500 0.5222 0.5908

DOS at the Fermi energy, states/eV/cell: 0.0
Final energy, Ry per atom: -0.6084

Record 17
Computed, not measured: Tc2HgPb at its PBEsol-relaxed geometry at the meta-GGA SCAN level of DFT.

a = 3.0071 Å, b = 5.1677 Å, c = 5.4523 Å
α = 117.02°, β = 104.01°, γ = 94.07°
Fractional positions:
Tc 0.0000 0.0000 0.5000
Tc 0.5000 0.5000 0.5000
Hg 0.5000 0.0000 0.0000
Pb 0.0000 0.5000 0.0000

Polymorph energy (0 for the lowest one), meV per atom: 408
Formation energy from the elements, kJ/mol of atoms: 83.33
DOS at the Fermi energy, states/eV/cell: 2.9

Record 18
Computed, not measured: Tb2InPd2 at its PBEsol-relaxed geometry at the meta-GGA SCAN level of DFT.

a = 3.6790 Å, b = 7.6054 Å, c = 7.6054 Å
α = 90.00°, β = 90.00°, γ = 90.00°
Fractional positions:
Pd 0.0000 0.8720 0.3720
Pd 0.0000 0.1280 0.6280
Pd 0.0000 0.6280 0.8720
Pd 0.0000 0.3720 0.1280
Tb 0.5000 0.8264 0.6736
Tb 0.5000 0.3264 0.8264
Tb 0.5000 0.6736 0.1736
Tb 0.5000 0.1736 0.3264
In 0.0000 0.0000 0.0000
In 0.0000 0.5000 0.5000

Formation energy from the elements, kJ/mol of atoms: -94.17
DOS at the Fermi energy, states/eV/cell: 5.3

Record 19
Computed, not measured: Y2TlNi at its PBEsol-relaxed geometry at the meta-GGA SCAN level of DFT.

a = 3.7674 Å, b = 3.7204 Å, c = 8.4403 Å
α = 103.27°, β = 90.00°, γ = 120.42°
Fractional positions:
Y 0.2680 0.5360 0.3020
Y 0.7320 0.4640 0.6980
Ni 0.0000 0.0000 0.5000
Tl 0.5000 0.0000 0.0000

Formation energy from the elements, kJ/mol of atoms: -34.42
DOS at the Fermi energy, states/eV/cell: 3.3

Record 20
Computed, not measured: Li4PtBr at its PBEsol-relaxed geometry at the meta-GGA SCAN level of DFT.

a = 5.0650 Å, b = 5.0650 Å, c = 5.0650 Å
α = 60.00°, β = 60.00°, γ = 60.00°
Fractional positions:
Br 0.0000 0.0000 0.0000
Li 0.3764 0.3764 0.8707
Li 0.3764 0.3764 0.3764
Li 0.3764 0.8707 0.3764
Li 0.8707 0.3764 0.3764
Pt 0.7500 0.7500 0.7500

DOS at the Fermi energy, states/eV/cell: 1.0
Final energy, Ry per atom: -1.2265

Record 21
Computed, not measured: LiTbTl2 at its PBEsol-relaxed geometry at the meta-GGA SCAN level of DFT.

a = 5.1027 Å, b = 5.1027 Å, c = 5.1027 Å
α = 60.00°, β = 60.00°, γ = 60.00°
Fractional positions:
Tl 0.2500 0.2500 0.2500
Tl 0.7500 0.7500 0.7500
Li 0.5000 0.5000 0.5000
Tb 0.0000 0.0000 0.0000

Formation energy from the elements, kJ/mol of atoms: -47.36
DOS at the Fermi energy, states/eV/cell: 0.7

Record 22
Computed, not measured: CsYRe2Ir at its PBEsol-relaxed geometry at the meta-GGA SCAN level of DFT.

a = 4.8656 Å, b = 4.8656 Å, c = 4.9251 Å
α = 90.00°, β = 90.00°, γ = 90.00°
Fractional positions:
Y 0.5000 0.5000 0.5000
Re 0.5000 0.0000 0.0000
Re 0.0000 0.5000 0.0000
Ir 0.0000 0.0000 0.5000
Cs 0.0000 0.0000 0.0000

Formation energy from the elements, kJ/mol of atoms: 298.39
DOS at the Fermi energy, states/eV/cell: 5.6

Record 23
Computed, not measured: SrYSi2 at its PBEsol-relaxed geometry at the meta-GGA SCAN level of DFT.

a = 5.0619 Å, b = 5.0619 Å, c = 10.1325 Å
α = 104.46°, β = 104.46°, γ = 90.00°
Fractional positions:
Si 0.0214 0.3750 0.2500
Si 0.6250 0.7714 0.7500
Si 0.2286 0.8750 0.2500
Si 0.1250 0.9786 0.7500
Y 0.0000 0.0000 0.0000
Y 0.2500 0.7500 0.5000
Sr 0.5000 0.5000 0.0000
Sr 0.7500 0.2500 0.5000

Polymorph energy (0 for the lowest one), meV per atom: 585
DOS at the Fermi energy, states/eV/cell: 6.2

Record 24
Computed, not measured: LiIn2Ag at its PBEsol-relaxed geometry at the meta-GGA SCAN level of DFT.

a = 3.0735 Å, b = 4.1051 Å, c = 6.1265 Å
α = 90.00°, β = 90.00°, γ = 90.00°
Fractional positions:
Ag 0.5000 0.5000 0.5000
In 0.0000 0.0000 0.7524
In 0.0000 0.0000 0.2476
Li 0.5000 0.5000 0.0000

Formation energy from the elements, kJ/mol of atoms: -16.97
DOS at the Fermi energy, states/eV/cell: 1.1

Record 25
Computed, not measured: TaAg2Se at its PBEsol-relaxed geometry at the meta-GGA SCAN level of DFT.

a = 3.0983 Å, b = 3.0983 Å, c = 8.9623 Å
α = 80.05°, β = 80.05°, γ = 60.00°
Fractional positions:
Se 0.5097 0.5097 0.4709
Ta 0.2447 0.2447 0.2660
Ag 0.9978 0.9978 0.0065
Ag 0.7478 0.7478 0.7567

DOS at the Fermi energy, states/eV/cell: 1.6
Final energy, Ry per atom: -2.7454

Record 26
Computed, not measured: YSc2 at its PBEsol-relaxed geometry at the meta-GGA SCAN level of DFT.

a = 3.3108 Å, b = 8.9801 Å, c = 8.9801 Å
α = 120.00°, β = 90.00°, γ = 90.00°
Fractional positions:
Sc 0.0000 0.0000 0.3100
Sc 0.5000 0.6433 0.0000
Sc 0.0000 0.3100 0.0000
Sc 0.0000 0.6900 0.6900
Sc 0.5000 0.0000 0.6433
Sc 0.5000 0.3567 0.3567
Y 0.0000 0.6667 0.3333
Y 0.5000 0.0000 0.0000
Y 0.0000 0.3333 0.6667

Polymorph energy (0 for the lowest one), meV per atom: 38
Formation energy from the elements, kJ/mol of atoms: 8.12
DOS at the Fermi energy, states/eV/cell: 12.2